Entry 1:
## Pm2NdDy4Sc (PBE-GGA)

Data for a geometry-optimized Pm2NdDy4Sc structure.

Properties
Energy of formation from the pure elements ... 3.30 eV per formula unit

Unit cell a=9.436 b=9.436 c=9.436 alpha=137.98 beta=103.04 gamma=91.81
Positions (direct):
Pm1 0.000 0.000 0.000
Pm2 0.500 0.000 0.000
Pm3 0.500 0.000 0.500
Pm4 0.500 0.500 0.500
Nd1 0.000 0.500 0.500
Nd2 0.500 0.500 0.000
Dy1 0.235 0.250 0.985
Dy2 0.235 0.750 0.485
Dy3 0.236 0.236 0.500
Dy4 0.236 0.736 0.000
Dy5 0.764 0.264 0.000
Dy6 0.764 0.764 0.500
Dy7 0.765 0.250 0.515
Dy8 0.765 0.750 0.015
Sc1 0.000 0.000 0.500
Sc2 0.000 0.500 0.000

=====

Entry 2:
## K2RbCuF8 (PBE-GGA)

Data for a geometry-optimized K2RbCuF8 structure.

Properties
E_form (uncorrected) ... -1.9413 eV per atom

Unit cell a=4.981 b=5.540 c=7.704 alpha=89.65 beta=74.35 gamma=89.16
Positions (direct):
K1 0.125 0.003 0.204
K2 0.875 0.997 0.796
Rb1 0.500 0.500 0.500
Cu1 0.500 0.500 0.000
F1 0.191 0.502 0.216
F2 0.300 0.003 0.504
F3 0.339 0.740 0.894
F4 0.341 0.267 0.895
F5 0.659 0.733 0.105
F6 0.661 0.260 0.106
F7 0.700 0.997 0.496
F8 0.809 0.498 0.784

=====

Entry 3:
## Rb2NpMnCl6 (PBE-GGA)

Data for a geometry-optimized Rb2NpMnCl6 structure.

Properties
E_form (uncorrected) ... -1.4973 eV per atom

Unit cell a=7.551 b=7.551 c=7.551 alpha=119.90 beta=119.90 gamma=90.17
Positions (direct):
Rb1 0.250 0.750 0.500
Rb2 0.750 0.250 0.500
Np1 0.000 0.000 0.000
Mn1 0.500 0.500 0.000
Cl1 0.260 0.260 0.000
Cl2 0.260 0.260 0.520
Cl3 0.260 0.740 0.000
Cl4 0.740 0.260 0.000
Cl5 0.740 0.740 0.000
Cl6 0.740 0.740 0.480

=====

Entry 4:
## PmH7Pd5 (PBE-GGA)

Data for a geometry-optimized PmH7Pd5 structure.

Properties
Total DFT energy (no corrections) ... -4.48 eV per atom

Unit cell a=5.698 b=5.698 c=5.699 alpha=119.91 beta=90.06 gamma=119.88
Positions (direct):
Pm1 0.000 0.000 0.000
H1 0.501 0.000 0.499
H2 0.518 0.498 0.481
H3 0.518 0.503 0.021
H4 0.520 0.035 0.015
H5 0.981 0.498 0.016
H6 0.982 0.502 0.485
H7 0.985 0.964 0.482
Pd1 0.372 0.751 0.121
Pd2 0.373 0.745 0.622
Pd3 0.378 0.255 0.631
Pd4 0.750 0.500 0.250
Pd5 0.878 0.248 0.624